# NpZn11Co GGA-PBE relaxed
data_NpZn11Co
_chemical_formula_sum 'Np2 Zn22 Co2'
_space_group_name_H-M_alt 'C 1 2/m 1'
_space_group_IT_number 12
_space_group_name_Hall '-C 2y'
_cell_length_a 5.011
_cell_length_b 12.697
_cell_length_c 6.776
_cell_angle_alpha 90.00
_cell_angle_beta 111.65
_cell_angle_gamma 90.00
loop_
_atom_site_label
_atom_site_fract_x
_atom_site_fract_y
_atom_site_fract_z
Np1 0.000 0.000 0.000
Zn1 0.000 0.500 0.500
Zn2 0.117 0.394 0.220
Zn3 0.162 0.171 0.360
Zn4 0.250 0.250 0.000
Co1 0.000 0.000 0.500
# ΔE_f = -38 meV/atom